Record 1
{
  "formula": "HgAs2",
  "functional": "meta-GGA SCAN",
  "state": "PBEsol geometry",
  "e_tot_ev_per_atom": -35.77,
  "dos_at_fermi_per_ev_cell": 2.85,
  "cell": [[5.630, 0.000, 0.000], [2.815, 4.876, 0.000], [2.815, 1.625, 4.597]],
  "species": ["As", "As", "As", "As", "Hg", "Hg"],
  "fractional_positions": [[0.125, 0.125, 0.125], [0.125, 0.125, 0.625], [0.125, 0.625, 0.125], [0.625, 0.125, 0.125], [0.500, 0.500, 0.500], [0.750, 0.750, 0.750]]
}


Record 2
{
  "formula": "LiYIn2",
  "functional": "meta-GGA SCAN",
  "state": "PBEsol geometry",
  "e_tot_ev_per_atom": -24.81,
  "dos_at_fermi_per_ev_cell": 1.22,
  "cell": [[-3.098, 3.268, 1.016], [-4.132, -1.181, 1.684], [-0.581, 0.974, 5.583]],
  "species": ["Y", "In", "In", "Li"],
  "fractional_positions": [[0.500, 0.500, 0.500], [0.719, 0.719, 0.844], [0.281, 0.281, 0.156], [0.000, 0.000, 0.000]]
}


Record 3
{
  "formula": "CaAlSiH",
  "functional": "meta-GGA SCAN",
  "state": "PBEsol geometry",
  "e_tot_ev_per_atom": -8.18,
  "cell": [[4.124, 0.000, 0.000], [-2.062, 3.572, 0.000], [0.000, 0.000, 4.529]],
  "species": ["H", "Ca", "Si", "Al"],
  "fractional_positions": [[0.667, 0.333, 0.073], [0.000, 0.000, 0.006], [0.333, 0.667, 0.565], [0.667, 0.333, 0.463]]
}


Record 4
{
  "formula": "LiCa",
  "functional": "meta-GGA SCAN",
  "state": "PBEsol geometry",
  "e_tot_ev_per_atom": -5.96,
  "dos_at_fermi_per_ev_cell": 2.49,
  "cell": [[4.750, 0.000, 0.000], [0.000, 4.750, 0.000], [-2.375, -2.375, 5.514]],
  "species": ["Ca", "Ca", "Li", "Li"],
  "fractional_positions": [[0.250, 0.750, 0.500], [0.000, 0.000, 0.000], [0.750, 0.250, 0.500], [0.500, 0.500, 0.000]]
}


Record 5
{
  "formula": "SrRePt2",
  "functional": "meta-GGA SCAN",
  "state": "PBEsol geometry",
  "e_tot_ev_per_atom": -58.57,
  "dos_at_fermi_per_ev_cell": 2.91,
  "cell": [[2.800, 0.000, 0.022], [0.000, 3.736, 0.000], [-0.055, 0.000, 7.118]],
  "species": ["Pt", "Pt", "Re", "Sr"],
  "fractional_positions": [[0.000, 0.000, 0.811], [0.000, 0.000, 0.189], [0.500, 0.500, 0.000], [0.500, 0.500, 0.500]]
}


Record 6
{
  "formula": "AlCoAsBr2",
  "functional": "meta-GGA SCAN",
  "state": "PBEsol geometry",
  "e_form_raw_kj_per_mol_atoms": 38,
  "e_tot_ev_per_atom": -16.44,
  "dos_at_fermi_per_ev_cell": 2.76,
  "cell": [[4.840, 0.000, 0.000], [0.000, 4.840, 0.000], [0.000, 0.000, 5.093]],
  "species": ["As", "Co", "Al", "Br", "Br"],
  "fractional_positions": [[0.000, 0.000, 0.500], [0.500, 0.500, 0.500], [0.000, 0.000, 0.000], [0.000, 0.500, 0.000], [0.500, 0.000, 0.000]]
}


Record 7
{
  "formula": "RbFeN2",
  "functional": "meta-GGA SCAN",
  "state": "PBEsol geometry",
  "e_form_raw_kj_per_mol_atoms": 59,
  "e_tot_ev_per_atom": -13.75,
  "dos_at_fermi_per_ev_cell": 1.91,
  "cell": [[3.051, 0.000, 0.000], [1.526, 2.642, 0.000], [1.526, 0.881, 6.756]],
  "species": ["Fe", "Rb", "N", "N"],
  "fractional_positions": [[0.500, 0.500, 0.500], [0.000, 0.000, 0.000], [0.876, 0.876, 0.373], [0.124, 0.124, 0.627]]
}


Record 8
{
  "formula": "Y3Ag",
  "functional": "meta-GGA SCAN",
  "state": "PBEsol geometry",
  "e_tot_ev_per_atom": -28.63,
  "dos_at_fermi_per_ev_cell": 5.30,
  "cell": [[-1.672, -2.040, -2.117], [-2.416, -1.686, 5.334], [-1.656, 5.457, -2.149]],
  "species": ["Ag", "Y", "Y", "Y"],
  "fractional_positions": [[0.000, 0.000, 0.000], [0.000, 0.500, 0.500], [0.500, 0.000, 0.500], [0.500, 0.500, 0.000]]
}